A relaxed FeNiIO2 crystal, computed with GGA+U.

The structure in POSCAR format:
```
FeNiIO2
1.0
-1.837 -0.652 3.406
1.593 -3.582 0.173
4.334 2.059 2.732
Fe O Ni I
1 2 1 1
Direct
0.500 0.500 0.500 Fe
0.500 0.000 0.000 O
0.000 0.500 0.000 O
0.000 0.000 0.000 Ni
0.000 0.000 0.500 I
```

The calculation puts the raw total energy at -18.8 eV/cell. Its space group is P4/mmm (123).